(1)
A plane-wave DFT calculation with PBE was carried out for a relaxed KNaUS3 crystal.

## Properties
Crystal system: orthorhombic

a b c (Å): 7.705 7.705 10.948
angles (deg): 90.00 90.00 148.68
Positions (direct):
K1 0.194 0.806 0.750
K2 0.806 0.194 0.250
Na1 0.080 0.920 0.250
Na2 0.920 0.080 0.750
U1 0.500 0.500 0.000
U2 0.500 0.500 0.500
S1 0.118 0.882 0.016
S2 0.118 0.882 0.484
S3 0.468 0.532 0.250
S4 0.532 0.468 0.750
S5 0.882 0.118 0.516
S6 0.882 0.118 0.984

---

(2)
A plane-wave DFT calculation with PBE was carried out for a relaxed KNaUSe3 crystal.

## Properties
Crystal system: orthorhombic

a b c (Å): 7.718 7.718 11.314
angles (deg): 90.00 90.00 147.35
Positions (direct):
K1 0.223 0.777 0.750
K2 0.777 0.223 0.250
Na1 0.058 0.942 0.250
Na2 0.942 0.058 0.750
U1 0.500 0.500 0.000
U2 0.500 0.500 0.500
Se1 0.125 0.875 0.026
Se2 0.125 0.875 0.474
Se3 0.447 0.553 0.250
Se4 0.553 0.447 0.750
Se5 0.875 0.125 0.526
Se6 0.875 0.125 0.974

---

(3)
A plane-wave DFT calculation with PBE was carried out for a relaxed KNaSm crystal.

## Properties
Crystal system: cubic
Energy relative to the lowest polymorph listed for this composition (meV per atom): 0

a b c (Å): 8.486 8.486 8.486
angles (deg): 90.00 90.00 90.00
Positions (direct):
K1 0.000 0.000 0.000
K2 0.000 0.500 0.500
K3 0.500 0.000 0.500
K4 0.500 0.500 0.000
Na1 0.000 0.000 0.500
Na2 0.000 0.500 0.000
Na3 0.500 0.000 0.000
Na4 0.500 0.500 0.500
Sm1 0.250 0.250 0.250
Sm2 0.250 0.750 0.750
Sm3 0.750 0.250 0.750
Sm4 0.750 0.750 0.250

---

Values of uncorrected energy, in order: -5.60, -5.15, -1.41, all in eV/atom.